! PBE Fe2TePt, relaxed; values from VASP
&SYSTEM
  ibrav = 0, nat = 4, ntyp = 3
/
ATOMIC_SPECIES
Fe 55.84 Fe.upf
Te 127.60 Te.upf
Pt 195.08 Pt.upf
CELL_PARAMETERS angstrom
3.185 0.000 0.000
0.000 3.185 0.000
0.000 0.000 6.359
ATOMIC_POSITIONS crystal
Fe 0.000 0.000 0.000
Fe 0.500 0.500 0.212
Te 0.500 0.500 0.760
Pt 0.000 0.000 0.424
! DOS at the Fermi energy in states/eV/f.u.: 2.407
! Energy in eV for the cell shown: -25.48